Entry 1:
# ScAlSn2

A geometry-optimized ScAlSn2 structure (GGA-PBE, the Alexandria database).

Lattice parameters (Å, degrees): 3.2788 3.2788 10.5343 81.05 81.05 60.00
Last column: nearest neighbours and their distance in Å.
Positions (direct):
Sc (0.5000, 0.5000, 0.5000)  6 Sn 3.06, 6 Sc 3.28
Sn (0.0892, 0.0892, 0.7323)  1 Al 2.77, 3 Sc 3.06
Sn (0.9108, 0.9108, 0.2677)  1 Al 2.77, 3 Sc 3.06
Al (0.0000, 0.0000, 0.0000)  2 Sn 2.77

E_form ... -0.07 eV/atom
Space group ... R-3m, No. 166

---

Entry 2:
# PmLuBi2

A geometry-optimized PmLuBi2 structure (GGA-PBE, the Alexandria database).

Lattice parameters (Å, degrees): 4.0091 5.4518 5.4518 90.00 90.00 90.00
Last column: nearest neighbours and their distance in Å.
Positions (direct):
Lu (0.5000, 0.0000, 0.0000)  8 Bi 3.38
Bi (0.0000, 0.0000, 0.5000)  4 Pm 3.38, 4 Lu 3.38
Bi (0.0000, 0.5000, 0.0000)  4 Pm 3.38, 4 Lu 3.38
Pm (0.5000, 0.5000, 0.5000)  8 Bi 3.38

E_form ... -0.57 eV/atom
Space group ... P4/mmm, No. 123

---

Entry 3:
# CdSb2Rh

A geometry-optimized CdSb2Rh structure (GGA-PBE, the Alexandria database).

Lattice parameters (Å, degrees): 3.2007 3.2007 8.6975 90.00 90.00 90.00
Last column: nearest neighbours and their distance in Å.
Positions (direct):
Cd (0.0000, 0.0000, 0.5465)  4 Rh 2.92, 4 Cd 3.20
Sb (0.0000, 0.0000, 0.9325)  4 Rh 2.72
Sb (0.5000, 0.5000, 0.2617)  4 Sb 3.20, 4 Cd 3.36
Rh (0.5000, 0.5000, 0.7593)  4 Sb 2.72, 4 Cd 2.92

Formation energy from raw total energies ... -0.116 eV per atom
Space group ... P4mm, No. 99

---

Entry 4:
# YInRh2

A geometry-optimized YInRh2 structure (GGA-PBE, the Alexandria database).

Lattice parameters (Å, degrees): 8.8273 8.8273 8.8273 21.74 21.74 21.74
Last column: nearest neighbours and their distance in Å.
Positions (direct):
In (0.7384, 0.7384, 0.7384)  3 Rh 2.72
Rh (0.9974, 0.9974, 0.9974)  3 In 2.72, 3 Rh 2.80
Rh (0.2520, 0.2520, 0.2520)  3 Y 2.70, 3 Rh 2.80
Y (0.5122, 0.5122, 0.5122)  3 Rh 2.70

E_form ... 0.02 eV/atom
Space group ... R3m, No. 160

---

Entry 5:
# Y2BiS

A geometry-optimized Y2BiS structure (GGA-PBE, the Alexandria database).

Lattice parameters (Å, degrees): 4.0588 4.0588 7.7095 74.74 74.74 60.00
Last column: nearest neighbours and their distance in Å.
Positions (direct):
Y (0.0690, 0.0690, 0.7929)  3 S 2.77
Y (0.2633, 0.2633, 0.2102)  3 S 2.83
Bi (0.4991, 0.4991, 0.5028)  6 Y 3.17-3.18
S (0.6686, 0.6686, 0.9941)  6 Y 2.77-2.83

Relative energy among the computed polymorphs ... 39.2 meV per atom
Formation energy from raw total energies ... -1.338 eV per atom
Space group ... R3m, No. 160

---

Entry 6:
# NdCdHg3

A geometry-optimized NdCdHg3 structure (GGA-PBE, the Alexandria database).

Lattice parameters (Å, degrees): 8.5066 6.2154 6.6910 117.68 115.48 90.00
Last column: nearest neighbours and their distance in Å.
Positions (direct):
Nd (0.2980, 0.3361, 0.6721)  9 Hg 3.20-3.47, 1 Cd 3.53
Nd (0.7020, 0.6639, 0.3279)  9 Hg 3.20-3.47, 1 Cd 3.53
Cd (0.0000, 0.0000, 0.0000)  4 Hg 2.93
Cd (0.5000, 0.0000, 0.0000)  6 Hg 2.94-3.11
Hg (0.6751, 0.6216, 0.7779)  2 Hg 2.89-3.20, 2 Cd 2.93-2.94
Hg (0.6751, 0.1562, 0.7779)  2 Hg 2.89-3.20, 2 Cd 2.93-2.94
Hg (0.1231, 0.7545, 0.5091)  1 Cd 3.11, 3 Nd 3.20-3.38, 2 Hg 3.28
Hg (0.8769, 0.2455, 0.4909)  1 Cd 3.11, 3 Nd 3.20-3.38, 2 Hg 3.28
Hg (0.3249, 0.8438, 0.2221)  2 Hg 2.89-3.20, 2 Cd 2.93-2.94
Hg (0.3249, 0.3784, 0.2221)  2 Hg 2.89-3.20, 2 Cd 2.93-2.94

Relative energy among the computed polymorphs ... 115.1 meV per atom
E_form ... -0.20 eV/atom
Space group ... C2/m, No. 12

---

Entry 7:
# FeCo3Re

A geometry-optimized FeCo3Re structure (GGA-PBE, the Alexandria database).

Lattice parameters (Å, degrees): 4.1547 4.1547 4.1547 90.00 90.00 90.00
Last column: nearest neighbours and their distance in Å.
Positions (direct):
Re (0.5000, 0.5000, 0.5000)  12 Co 2.94
Co (0.0000, 0.5000, 0.0000)  2 Fe 2.08
Co (0.0000, 0.0000, 0.5000)  2 Fe 2.08
Co (0.5000, 0.0000, 0.0000)  2 Fe 2.08
Fe (0.0000, 0.0000, 0.0000)  6 Co 2.08

Relative energy among the computed polymorphs ... 1327.4 meV per atom
E_form ... 1.44 eV/atom
Space group ... Pm-3m, No. 221

---

Entry 8:
# KZrBr

A geometry-optimized KZrBr structure (GGA-PBE, the Alexandria database).

Lattice parameters (Å, degrees): 5.0876 5.0876 5.0876 60.00 60.00 60.00
Last column: nearest neighbours and their distance in Å.
Positions (direct):
Br (0.7500, 0.7500, 0.7500)  4 Zr 3.12, 4 K 3.12
K (0.0000, 0.0000, 0.0000)  4 Br 3.12
Zr (0.5000, 0.5000, 0.5000)  4 Br 3.12

Relative energy among the computed polymorphs ... 740.9 meV per atom
Formation energy from raw total energies ... 0.474 eV per atom
Space group ... F-43m, No. 216

---

Entry 9:
# YZr2ScN4

A geometry-optimized YZr2ScN4 structure (GGA-PBE, the Alexandria database).

Lattice parameters (Å, degrees): 6.5952 6.5952 6.5892 119.97 119.97 89.98
Last column: nearest neighbours and their distance in Å.
Positions (direct):
Y (0.0000, 0.5000, 0.0000)  6 N 2.38-2.39
Y (0.0000, 0.5000, 0.5000)  6 N 2.38-2.39
Zr (0.5000, 0.0000, 0.0000)  6 N 2.28
Zr (0.5000, 0.0000, 0.5000)  6 N 2.28
Zr (0.0000, 0.0000, 0.5000)  6 N 2.33
Zr (0.5000, 0.5000, 0.0000)  6 N 2.33
Sc (0.5000, 0.5000, 0.5000)  6 N 2.33
Sc (0.0000, 0.0000, 0.0000)  6 N 2.33
N (0.2617, 0.7615, 0.0116)  3 Zr 2.28-2.33, 1 Sc 2.33, 2 Y 2.39
N (0.7385, 0.2383, 0.4884)  3 Zr 2.28-2.33, 1 Sc 2.33, 2 Y 2.39
N (0.2615, 0.7617, 0.5116)  3 Zr 2.28-2.33, 1 Sc 2.33, 2 Y 2.39
N (0.7383, 0.2385, 0.9884)  3 Zr 2.28-2.33, 1 Sc 2.33, 2 Y 2.39
N (0.7444, 0.7556, 0.9998)  3 Zr 2.28-2.33, 2 Sc 2.33, 1 Y 2.38
N (0.7444, 0.7556, 0.5002)  3 Zr 2.28-2.33, 2 Sc 2.33, 1 Y 2.38
N (0.2556, 0.2444, 0.4998)  3 Zr 2.28-2.33, 2 Sc 2.33, 1 Y 2.38
N (0.2556, 0.2444, 0.0002)  3 Zr 2.28-2.33, 2 Sc 2.33, 1 Y 2.38

Formation energy from raw total energies ... -1.753 eV per atom
Space group ... Imma, No. 74

---

Entry 10:
# Nd3Ho5Se12

A geometry-optimized Nd3Ho5Se12 structure (GGA-PBE, the Alexandria database).

Lattice parameters (Å, degrees): 14.6963 14.6963 14.6963 109.47 109.47 109.47
Last column: nearest neighbours and their distance in Å.
Positions (direct):
Nd (0.7500, 0.3750, 0.1250)  8 Se 3.14-3.22
Nd (0.8750, 0.7500, 0.1250)  8 Se 3.14-3.22
Nd (0.3750, 0.7500, 0.6250)  8 Se 3.14-3.22
Nd (0.2500, 0.1250, 0.3750)  8 Se 3.14-3.22
Nd (0.8750, 0.1250, 0.2500)  8 Se 3.14-3.22
Nd (0.3750, 0.6250, 0.2500)  8 Se 3.14-3.22
Nd (0.6250, 0.3750, 0.7500)  8 Se 3.14-3.22
Nd (0.1250, 0.8750, 0.7500)  8 Se 3.14-3.22
Nd (0.7500, 0.8750, 0.6250)  8 Se 3.14-3.22
Nd (0.6250, 0.2500, 0.3750)  8 Se 3.14-3.22
Nd (0.1250, 0.2500, 0.8750)  8 Se 3.14-3.22
Nd (0.2500, 0.6250, 0.8750)  8 Se 3.14-3.22
Ho (0.1250, 0.3750, 0.2500)  4 Se 2.67
Ho (0.0000, 0.5000, 0.0000)  6 Se 2.85
Ho (0.0000, 0.0000, 0.0000)  6 Se 2.85
Ho (0.3750, 0.2500, 0.1250)  4 Se 2.67
Ho (0.5000, 0.0000, 0.5000)  6 Se 2.85
Ho (0.5000, 0.5000, 0.0000)  6 Se 2.85
Ho (0.1250, 0.7500, 0.3750)  4 Se 2.67
Ho (0.7500, 0.1250, 0.8750)  4 Se 2.67
Ho (0.7500, 0.6250, 0.3750)  4 Se 2.67
Ho (0.3750, 0.1250, 0.7500)  4 Se 2.67
Ho (0.6250, 0.8750, 0.2500)  4 Se 2.67
Ho (0.5000, 0.5000, 0.5000)  6 Se 2.85
Ho (0.5000, 0.0000, 0.0000)  6 Se 2.85
Ho (0.0000, 0.0000, 0.5000)  6 Se 2.85
Ho (0.2500, 0.3750, 0.6250)  4 Se 2.67
Ho (0.2500, 0.8750, 0.1250)  4 Se 2.67
Ho (0.0000, 0.5000, 0.5000)  6 Se 2.85
Ho (0.8750, 0.2500, 0.6250)  4 Se 2.67
Ho (0.6250, 0.7500, 0.8750)  4 Se 2.67
Ho (0.8750, 0.6250, 0.7500)  4 Se 2.67
Se (0.7204, 0.1293, 0.0458)  2 Ho 2.67-2.85
Se (0.3254, 0.5458, 0.4165)  2 Ho 2.67-2.85
Se (0.9542, 0.3707, 0.2796)  2 Ho 2.67-2.85
Se (0.5458, 0.2204, 0.1293)  2 Ho 2.67-2.85
Se (0.5911, 0.7204, 0.6746)  2 Ho 2.67-2.85
Se (0.9542, 0.5835, 0.1746)  2 Ho 2.67-2.85
Se (0.3254, 0.7796, 0.4089)  2 Ho 2.67-2.85
Se (0.0835, 0.9089, 0.1293)  2 Ho 2.67-2.85
Se (0.5835, 0.9542, 0.6746)  2 Ho 2.67-2.85
Se (0.7204, 0.5911, 0.1746)  2 Ho 2.67-2.85
Se (0.7796, 0.4542, 0.3707)  2 Ho 2.67-2.85
Se (0.8254, 0.9165, 0.0458)  2 Ho 2.67-2.85
Se (0.1293, 0.7204, 0.5458)  2 Ho 2.67-2.85
Se (0.3707, 0.4165, 0.0911)  2 Ho 2.67-2.85
Se (0.0911, 0.9165, 0.3707)  2 Ho 2.67-2.85
Se (0.4089, 0.1293, 0.5835)  2 Ho 2.67-2.85
Se (0.0911, 0.1746, 0.2204)  2 Ho 2.67-2.85
Se (0.4542, 0.6746, 0.0835)  2 Ho 2.67-2.85
Se (0.8254, 0.9089, 0.2796)  2 Ho 2.67-2.85
Se (0.1293, 0.4089, 0.0835)  2 Ho 2.67-2.85
Se (0.3707, 0.9542, 0.7796)  2 Ho 2.67-2.85
Se (0.5835, 0.6293, 0.4089)  2 Ho 2.67-2.85
Se (0.9165, 0.8254, 0.5458)  2 Ho 2.67-2.85
Se (0.7796, 0.3254, 0.9089)  2 Ho 2.67-2.85
Se (0.4165, 0.3707, 0.5911)  2 Ho 2.67-2.85
Se (0.0835, 0.1746, 0.4542)  2 Ho 2.67-2.85
Se (0.2204, 0.6746, 0.0911)  2 Ho 2.67-2.85
Se (0.1746, 0.0911, 0.7204)  2 Ho 2.67-2.85
Se (0.6293, 0.0458, 0.2204)  2 Ho 2.67-2.85
Se (0.8707, 0.5911, 0.9165)  2 Ho 2.67-2.85
Se (0.5458, 0.3254, 0.9165)  2 Ho 2.67-2.85
Se (0.5911, 0.8707, 0.4165)  2 Ho 2.67-2.85
Se (0.9089, 0.8254, 0.7796)  2 Ho 2.67-2.85
Se (0.9089, 0.0835, 0.6293)  2 Ho 2.67-2.85
Se (0.8707, 0.2796, 0.4542)  2 Ho 2.67-2.85
Se (0.1746, 0.0835, 0.9542)  2 Ho 2.67-2.85
Se (0.6293, 0.5835, 0.9089)  2 Ho 2.67-2.85
Se (0.4165, 0.0458, 0.3254)  2 Ho 2.67-2.85
Se (0.2796, 0.4089, 0.8254)  2 Ho 2.67-2.85
Se (0.2204, 0.5458, 0.6293)  2 Ho 2.67-2.85
Se (0.9165, 0.0911, 0.8707)  2 Ho 2.67-2.85
Se (0.6746, 0.2204, 0.5911)  2 Ho 2.67-2.85
Se (0.4542, 0.7796, 0.8707)  2 Ho 2.67-2.85
Se (0.0458, 0.4165, 0.8254)  2 Ho 2.67-2.85
Se (0.4089, 0.2796, 0.3254)  2 Ho 2.67-2.85
Se (0.0458, 0.6293, 0.7204)  2 Ho 2.67-2.85
Se (0.6746, 0.4542, 0.5835)  2 Ho 2.67-2.85
Se (0.2796, 0.8707, 0.9542)  2 Ho 2.67-2.85

Formation energy from raw total energies ... -1.713 eV per atom
Space group ... Ia-3d, No. 230